The following is a DFT calculation (PBE+U) of CdWN2F after structural relaxation.

Structure (POSCAR):
```
CdWN2F
1.0
4.199 0.000 0.000
0.000 4.199 0.000
0.000 0.000 4.122
Cd W N F
1 1 2 1
Direct
0.000 0.000 0.000
0.500 0.500 0.500
0.000 0.500 0.000
0.500 0.000 0.000
0.000 0.000 0.500
```

Results
* size of the total moment: 0.486 μB/atom
* SG: No. 123
* calculated total energy: -20.305 eV per formula unit
* offset from the most stable computed form: 1.4402 eV per atom
* N(E_F): 2.73 states/eV per cell